# ZrZn2Se

An optimized crystal structure of ZrZn2Se (GGA-PBEsol, Alexandria via LeMat-Bulk).

abc: 3.3256 4.2586 5.1127
angles: 103.68 90.00 90.00
With the nearest neighbours (Å) after each atom.
Fractional coordinates of all 4 atoms:
Zn  0.5000  0.5000  0.0000  4 Zn 2.70, 2 Zr 2.91
Zn  0.0000  0.0000  0.0000  4 Zn 2.70, 2 Se 2.91
Se  0.0000  0.5000  0.5000  4 Zr 2.70, 2 Zn 2.91
Zr  0.5000  0.0000  0.5000  4 Se 2.70, 2 Zn 2.91

Output
Its space group is P2/m (10). The formation energy from raw total energies comes out at -0.356 eV/atom.


# LiZnIn2

An optimized crystal structure of LiZnIn2 (GGA-PBEsol, Alexandria via LeMat-Bulk).

abc: 4.2587 4.2587 5.2462
angles: 113.95 113.95 90.00
With the nearest neighbours (Å) after each atom.
Fractional coordinates of all 4 atoms:
In  0.2500  0.7500  0.5000  4 Zn 3.01, 4 Li 3.02, 4 In 3.02
In  0.0000  0.0000  0.0000  4 Li 3.01, 4 In 3.02, 4 Zn 3.02
Li  0.5000  0.5000  0.0000  8 In 3.01-3.02, 4 Zn 3.02
Zn  0.7500  0.2500  0.5000  8 In 3.01-3.02, 4 Li 3.02

Output
Its space group is I-4m2 (119). As for the formation energy: -0.114 eV per atom.